[1]
# HfNiSe2 PBE relaxed
data_HfNiSe2
_chemical_formula_sum 'Hf2 Ni2 Se4'
_symmetry_space_group_name_H-M 'P 1'
_symmetry_Int_Tables_number 1
_cell_length_a 5.6385
_cell_length_b 5.6385
_cell_length_c 7.0045
_cell_angle_alpha 66.27
_cell_angle_beta 66.27
_cell_angle_gamma 90.00
loop_
_symmetry_equiv_pos_as_xyz
'x,y,z'
loop_
_atom_site_label
_atom_site_type_symbol
_atom_site_fract_x
_atom_site_fract_y
_atom_site_fract_z
Ni1 Ni 0.5000 0.5000 0.0000
Ni2 Ni 0.2500 0.7500 0.5000
Hf1 Hf 0.0000 0.0000 0.0000
Hf2 Hf 0.7500 0.2500 0.5000
Se1 Se 0.5925 0.1250 0.2500
Se2 Se 0.1575 0.6250 0.2500
Se3 Se 0.3750 0.4075 0.7500
Se4 Se 0.8750 0.8425 0.7500
# E above lowest polymorph, meV/atom: 0
# Raw formation energy, eV per atom: -0.563
# Uncorrected energy, eV per atom: -6.239

[2]
# Cs3U3GaS8 PBE relaxed
data_Cs3U3GaS8
_chemical_formula_sum 'Cs3 U3 Ga1 S8'
_symmetry_space_group_name_H-M 'P 1'
_symmetry_Int_Tables_number 1
_cell_length_a 8.2564
_cell_length_b 8.2570
_cell_length_c 9.3212
_cell_angle_alpha 116.30
_cell_angle_beta 90.00
_cell_angle_gamma 120.00
loop_
_symmetry_equiv_pos_as_xyz
'x,y,z'
loop_
_atom_site_label
_atom_site_type_symbol
_atom_site_fract_x
_atom_site_fract_y
_atom_site_fract_z
Cs1 Cs 0.0000 0.0000 0.0000
Cs2 Cs 0.0000 0.5000 0.0000
Cs3 Cs 0.5000 0.5000 0.0000
U1 U 0.5000 0.0000 0.5000
U2 U 0.5000 0.5000 0.5000
U3 U 0.0000 0.5000 0.5000
Ga1 Ga 0.0000 0.0000 0.5000
S1 S 0.2729 0.5459 0.3188
S2 S 0.7271 0.4541 0.6812
S3 S 0.7645 0.5290 0.3267
S4 S 0.2355 0.4710 0.6733
S5 S 0.7646 0.0621 0.3268
S6 S 0.2354 0.9379 0.6732
S7 S 0.2975 0.0621 0.3268
S8 S 0.7025 0.9379 0.6732
# Raw formation energy, eV per atom: -1.257
# Uncorrected energy, eV per atom: -6.088

[3]
# Mn2IrCl PBE relaxed
data_Mn2IrCl
_chemical_formula_sum 'Mn2 Ir1 Cl1'
_symmetry_space_group_name_H-M 'P 1'
_symmetry_Int_Tables_number 1
_cell_length_a 3.0287
_cell_length_b 3.0804
_cell_length_c 7.2233
_cell_angle_alpha 90.08
_cell_angle_beta 90.00
_cell_angle_gamma 90.00
loop_
_symmetry_equiv_pos_as_xyz
'x,y,z'
loop_
_atom_site_label
_atom_site_type_symbol
_atom_site_fract_x
_atom_site_fract_y
_atom_site_fract_z
Ir1 Ir 0.5000 0.7500 0.7500
Mn1 Mn 0.0000 0.2506 0.9657
Mn2 Mn 0.0000 0.2494 0.5343
Cl1 Cl 0.5000 0.2500 0.2500
# E above lowest polymorph, meV/atom: 0
# Raw formation energy, eV per atom: -0.098
# Uncorrected energy, eV per atom: -7.359

[4]
# Li2ThCuSe4 PBE relaxed
data_Li2ThCuSe4
_chemical_formula_sum 'Li4 Th2 Cu2 Se8'
_symmetry_space_group_name_H-M 'P 1'
_symmetry_Int_Tables_number 1
_cell_length_a 4.0781
_cell_length_b 7.0146
_cell_length_c 12.9273
_cell_angle_alpha 90.00
_cell_angle_beta 90.00
_cell_angle_gamma 106.90
loop_
_symmetry_equiv_pos_as_xyz
'x,y,z'
loop_
_atom_site_label
_atom_site_type_symbol
_atom_site_fract_x
_atom_site_fract_y
_atom_site_fract_z
Li1 Li 0.3956 0.7912 0.5544
Li2 Li 0.6044 0.2088 0.0544
Li3 Li 0.6044 0.2088 0.4456
Li4 Li 0.3956 0.7912 0.9456
Th1 Th 0.0855 0.1710 0.7500
Th2 Th 0.9145 0.8290 0.2500
Cu1 Cu 0.8217 0.6435 0.7500
Cu2 Cu 0.1783 0.3565 0.2500
Se1 Se 0.3098 0.6196 0.1230
Se2 Se 0.6902 0.3804 0.6230
Se3 Se 0.6902 0.3804 0.8770
Se4 Se 0.3098 0.6196 0.3770
Se5 Se 0.0000 0.0000 0.5000
Se6 Se 0.0000 0.0000 0.0000
Se7 Se 0.4217 0.8434 0.7500
Se8 Se 0.5783 0.1566 0.2500
# Raw formation energy, eV per atom: -1.075
# Uncorrected energy, eV per atom: -4.735